{
  "formula": "NiSnO2",
  "functional": "PBE with a Hubbard U",
  "state": "relaxed",
  "lattice": [[5.668, -1.588, 0.000], [5.668, 1.588, 0.000], [-2.674, 0.000, 5.874]],
  "species": ["Ni", "Ni", "Sn", "Sn", "O", "O", "O", "O"],
  "frac_coords": [[0.000, 0.000, 0.000], [0.692, 0.692, 0.296], [0.302, 0.302, 0.920], [0.487, 0.487, 0.502], [0.056, 0.056, 0.347], [0.294, 0.294, 0.243], [0.670, 0.670, 0.784], [0.939, 0.939, 0.656]],
  "dos_at_fermi_per_ev_atom": 0.052,
  "total_energy_ev_per_cell": -40.288,
  "sg": "Cm, No. 8"
}